Model w:
{"formula": "AcDy3Te4", "functional": "PBE-GGA", "state": "optimized geometry", "density_g_cm3": 8.1, "cell": [[9.0815, 0.0000, 0.0000], [0.0000, 12.6021, 0.0000], [0.0000, 0.0000, 4.3642]], "species": ["Ac", "Ac", "Dy", "Dy", "Dy", "Dy", "Dy", "Dy", "Te", "Te", "Te", "Te", "Te", "Te", "Te", "Te"], "frac_coords": [[0.0000, 0.0000, 0.0000], [0.5000, 0.5000, 0.0000], [0.0000, 0.5000, 0.0000], [0.2500, 0.2500, 0.5000], [0.2500, 0.7500, 0.5000], [0.5000, 0.0000, 0.0000], [0.7500, 0.2500, 0.5000], [0.7500, 0.7500, 0.5000], [0.0000, 0.2586, 0.0000], [0.0000, 0.7414, 0.0000], [0.2324, 0.5000, 0.5000], [0.2676, 0.0000, 0.5000], [0.5000, 0.2414, 0.0000], [0.5000, 0.7586, 0.0000], [0.7324, 0.0000, 0.5000], [0.7676, 0.5000, 0.5000]]}



Model x:
{"formula": "AcDy3Te4", "functional": "PBE-GGA", "state": "optimized geometry", "density_g_cm3": 8.2, "cell": [[4.3649, 0.0000, 0.0000], [-2.1825, 3.7801, 0.0000], [0.0000, 0.0000, 30.2199]], "species": ["Ac", "Ac", "Dy", "Dy", "Dy", "Dy", "Dy", "Dy", "Te", "Te", "Te", "Te", "Te", "Te", "Te", "Te"], "frac_coords": [[0.3333, 0.6667, 0.2500], [0.6667, 0.3333, 0.7500], [0.0000, 0.0000, 0.0000], [0.0000, 0.0000, 0.5000], [0.3333, 0.6667, 0.6173], [0.3333, 0.6667, 0.8827], [0.6667, 0.3333, 0.1173], [0.6667, 0.3333, 0.3827], [0.0000, 0.0000, 0.1762], [0.0000, 0.0000, 0.3238], [0.0000, 0.0000, 0.6762], [0.0000, 0.0000, 0.8238], [0.3333, 0.6667, 0.0587], [0.3333, 0.6667, 0.4413], [0.6667, 0.3333, 0.5587], [0.6667, 0.3333, 0.9413]]}



Relative energies in kJ/mol of atoms: model w 1.8; model x 0.0



Model w:
{"formula": "Ac2DyTh", "functional": "PBE-GGA", "state": "optimized geometry", "density_g_cm3": 9.3, "cell": [[3.7702, 0.0000, 0.0000], [0.0000, 3.7702, 0.0000], [0.0000, 0.0000, 10.6278]], "species": ["Ac", "Ac", "Dy", "Th"], "frac_coords": [[0.0000, 0.0000, 0.2475], [0.0000, 0.0000, 0.7525], [0.5000, 0.5000, 0.5000], [0.5000, 0.5000, 0.0000]]}



Model x:
{"formula": "Ac2DyTh", "functional": "PBE-GGA", "state": "optimized geometry", "density_g_cm3": 9.3, "cell": [[8.4776, 0.0000, 0.0000], [0.0000, 8.4776, 0.0000], [0.0000, 0.0000, 8.4776]], "species": ["Ac", "Ac", "Ac", "Ac", "Ac", "Ac", "Ac", "Ac", "Dy", "Dy", "Dy", "Dy", "Th", "Th", "Th", "Th"], "frac_coords": [[0.2500, 0.2500, 0.2500], [0.2500, 0.2500, 0.7500], [0.2500, 0.7500, 0.2500], [0.2500, 0.7500, 0.7500], [0.7500, 0.2500, 0.2500], [0.7500, 0.2500, 0.7500], [0.7500, 0.7500, 0.2500], [0.7500, 0.7500, 0.7500], [0.0000, 0.0000, 0.0000], [0.0000, 0.5000, 0.5000], [0.5000, 0.0000, 0.5000], [0.5000, 0.5000, 0.0000], [0.0000, 0.0000, 0.5000], [0.0000, 0.5000, 0.0000], [0.5000, 0.0000, 0.0000], [0.5000, 0.5000, 0.5000]]}



Relative energies in kJ/mol of atoms: model w 0.0; model x 13.4



Model w:
{"formula": "AcDyYTh", "functional": "PBE-GGA", "state": "optimized geometry", "density_g_cm3": 8.4, "cell": [[3.6967, 0.0000, 0.0000], [0.0000, 3.6967, 0.0000], [0.0000, 0.0000, 10.2244]], "species": ["Ac", "Dy", "Y", "Th"], "frac_coords": [[0.0000, 0.0000, 0.0000], [0.5000, 0.5000, 0.2693], [0.5000, 0.5000, 0.7286], [0.0000, 0.0000, 0.4978]]}



Model x:
{"formula": "AcDyYTh", "functional": "PBE-GGA", "state": "optimized geometry", "density_g_cm3": 8.5, "cell": [[8.2340, 0.0000, 0.0000], [0.0000, 8.2340, 0.0000], [0.0000, 0.0000, 8.2340]], "species": ["Ac", "Ac", "Ac", "Ac", "Dy", "Dy", "Dy", "Dy", "Y", "Y", "Y", "Y", "Th", "Th", "Th", "Th"], "frac_coords": [[0.0000, 0.0000, 0.0000], [0.0000, 0.5000, 0.5000], [0.5000, 0.0000, 0.5000], [0.5000, 0.5000, 0.0000], [0.2500, 0.2500, 0.7500], [0.2500, 0.7500, 0.2500], [0.7500, 0.2500, 0.2500], [0.7500, 0.7500, 0.7500], [0.2500, 0.2500, 0.2500], [0.2500, 0.7500, 0.7500], [0.7500, 0.2500, 0.7500], [0.7500, 0.7500, 0.2500], [0.0000, 0.0000, 0.5000], [0.0000, 0.5000, 0.0000], [0.5000, 0.0000, 0.0000], [0.5000, 0.5000, 0.5000]]}



Relative energies in kJ/mol of atoms: model w 0.0; model x 9.7



Model w:
{"formula": "Ac2DyTl", "functional": "PBE-GGA", "state": "optimized geometry", "density_g_cm3": 8.4, "cell": [[3.8082, 0.0000, 0.0000], [-1.9041, 3.2980, 0.0000], [0.0000, 0.0000, 38.6813]], "species": ["Ac", "Ac", "Ac", "Ac", "Ac", "Ac", "Dy", "Dy", "Dy", "Tl", "Tl", "Tl"], "frac_coords": [[0.0000, 0.0000, 0.0897], [0.0000, 0.0000, 0.9103], [0.3333, 0.6667, 0.5769], [0.3333, 0.6667, 0.7564], [0.6667, 0.3333, 0.2436], [0.6667, 0.3333, 0.4231], [0.0000, 0.0000, 0.5000], [0.3333, 0.6667, 0.1667], [0.6667, 0.3333, 0.8333], [0.0000, 0.0000, 0.0000], [0.3333, 0.6667, 0.6667], [0.6667, 0.3333, 0.3333]]}



Model x:
{"formula": "Ac2DyTl", "functional": "PBE-GGA", "state": "optimized geometry", "density_g_cm3": 9.4, "cell": [[8.3407, 0.0000, 0.0000], [0.0000, 8.3407, 0.0000], [0.0000, 0.0000, 8.3407]], "species": ["Ac", "Ac", "Ac", "Ac", "Ac", "Ac", "Ac", "Ac", "Dy", "Dy", "Dy", "Dy", "Tl", "Tl", "Tl", "Tl"], "frac_coords": [[0.2500, 0.2500, 0.2500], [0.2500, 0.2500, 0.7500], [0.2500, 0.7500, 0.2500], [0.2500, 0.7500, 0.7500], [0.7500, 0.2500, 0.2500], [0.7500, 0.2500, 0.7500], [0.7500, 0.7500, 0.2500], [0.7500, 0.7500, 0.7500], [0.0000, 0.0000, 0.0000], [0.0000, 0.5000, 0.5000], [0.5000, 0.0000, 0.5000], [0.5000, 0.5000, 0.0000], [0.0000, 0.0000, 0.5000], [0.0000, 0.5000, 0.0000], [0.5000, 0.0000, 0.0000], [0.5000, 0.5000, 0.5000]]}



Relative energies in kJ/mol of atoms: model w 14.3; model x 0.0